--- A ---
Compound: SrAsH
Source: the Alexandria database
Functional: PBE
Structure: optimized geometry

```
data_SrAsH
_chemical_formula_sum 'Sr2 As2 H2'
_symmetry_space_group_name_H-M 'P 1'
_symmetry_Int_Tables_number 1
_symmetry_space_group_name_Hall 'P 1'
_cell_length_a 7.3107
_cell_length_b 4.3766
_cell_length_c 4.7950
_cell_angle_alpha 90.00
_cell_angle_beta 90.00
_cell_angle_gamma 61.43
loop_
_atom_site_label
_atom_site_fract_x
_atom_site_fract_y
_atom_site_fract_z
_atom_site_occupancy
As1 0.0761 0.8492 0.9257 1
As2 0.6002 0.8633 0.4257 1
H1 0.2288 0.0077 0.9257 1
H2 0.4476 0.7047 0.4257 1
Sr1 0.5837 0.3711 0.9257 1
Sr2 0.0927 0.3413 0.4257 1
```

Calculated values
density = 4.031 Mg/m³
crystal system = monoclinic
symmetry = P2_1/m (11)

***

--- B ---
Compound: SrAsH
Source: the Alexandria database
Functional: PBE
Structure: optimized geometry

```
data_SrAsH
_chemical_formula_sum 'Sr4 As4 H4'
_symmetry_space_group_name_H-M 'P 1'
_symmetry_Int_Tables_number 1
_symmetry_space_group_name_Hall 'P 1'
_cell_length_a 8.2289
_cell_length_b 3.8142
_cell_length_c 8.2529
_cell_angle_alpha 90.00
_cell_angle_beta 90.00
_cell_angle_gamma 90.00
loop_
_atom_site_label
_atom_site_fract_x
_atom_site_fract_y
_atom_site_fract_z
_atom_site_occupancy
Sr1 0.5000 0.2500 0.7500 1
Sr2 0.0000 0.7500 0.2500 1
Sr3 0.5000 0.7500 0.2500 1
Sr4 0.0000 0.2500 0.7500 1
As1 0.2500 0.7500 0.9462 1
As2 0.2500 0.2500 0.4462 1
As3 0.7500 0.7500 0.5538 1
As4 0.7500 0.2500 0.0538 1
H1 0.2500 0.2500 0.9264 1
H2 0.7500 0.7500 0.0736 1
H3 0.2500 0.7500 0.4264 1
H4 0.7500 0.2500 0.5736 1
```

Calculated values
density = 4.194 Mg/m³
density of states at the Fermi level = 0.1 states/eV/f.u.
crystal system = orthorhombic
symmetry = Cmcm (63)

***

--- C ---
Compound: SrAsH
Source: the Alexandria database
Functional: PBE
Structure: optimized geometry

```
data_SrAsH
_chemical_formula_sum 'Sr4 As4 H4'
_symmetry_space_group_name_H-M 'P 1'
_symmetry_Int_Tables_number 1
_symmetry_space_group_name_Hall 'P 1'
_cell_length_a 7.2856
_cell_length_b 8.1894
_cell_length_c 4.6123
_cell_angle_alpha 90.00
_cell_angle_beta 90.00
_cell_angle_gamma 90.00
loop_
_atom_site_label
_atom_site_fract_x
_atom_site_fract_y
_atom_site_fract_z
_atom_site_occupancy
H1 0.0325 0.2500 0.6298 1
H2 0.4675 0.7500 0.1298 1
H3 0.9675 0.7500 0.3702 1
H4 0.5325 0.2500 0.8702 1
As1 0.6574 0.7500 0.9686 1
As2 0.8426 0.2500 0.4686 1
As3 0.1574 0.7500 0.5314 1
As4 0.3426 0.2500 0.0314 1
Sr1 0.5000 0.0000 0.5000 1
Sr2 0.5000 0.5000 0.5000 1
Sr3 0.0000 0.5000 0.0000 1
Sr4 0.0000 0.0000 0.0000 1
```

Calculated values
density = 3.947 Mg/m³
density of states at the Fermi level = 0.0 states/eV/f.u.
crystal system = orthorhombic
symmetry = Pnma (62)

***

--- D ---
Compound: SrAsH
Source: the Alexandria database
Functional: PBE
Structure: optimized geometry

```
data_SrAsH
_chemical_formula_sum 'Sr2 As2 H2'
_symmetry_space_group_name_H-M 'P 1'
_symmetry_Int_Tables_number 1
_symmetry_space_group_name_Hall 'P 1'
_cell_length_a 5.9052
_cell_length_b 5.9012
_cell_length_c 5.9010
_cell_angle_alpha 92.36
_cell_angle_beta 105.54
_cell_angle_gamma 133.64
loop_
_atom_site_label
_atom_site_fract_x
_atom_site_fract_y
_atom_site_fract_z
_atom_site_occupancy
H1 0.9470 0.0012 0.9458 1
H2 0.0530 0.9988 0.0542 1
As1 0.8252 0.5010 0.3242 1
As2 0.1748 0.4990 0.6758 1
Sr1 0.5000 0.2280 0.7280 1
Sr2 0.5000 0.7720 0.2720 1
```

Calculated values
density = 4.005 Mg/m³
density of states at the Fermi level = 0.1 states/eV/f.u.
crystal system = monoclinic
symmetry = C2/m (12)

***

Decreasing stability: A, C, D, B